[1]
Computed, not measured: BaSiNi2 at its PBEsol-relaxed geometry at the meta-GGA SCAN level of DFT.

Results
D(E_F) ... 2.6 states/eV/f.u.
SG ... No. 166
Crystal system ... trigonal
E_form (uncorrected) ... -38.93 kJ per mole of atoms
Raw total energy ... -83.526 eV/cell

CIF file:
```
data_BaSiNi2
_cell_length_a 6.0246
_cell_length_b 6.0246
_cell_length_c 6.0246
_cell_angle_alpha 38.75
_cell_angle_beta 38.75
_cell_angle_gamma 38.75
_symmetry_space_group_name_H-M 'P 1'
_symmetry_Int_Tables_number 1
_symmetry_space_group_name_Hall 'P 1'
loop_
_atom_site_label
_atom_site_fract_x
_atom_site_fract_y
_atom_site_fract_z
Ba1 0.0000 0.0000 0.0000
Si1 0.5000 0.5000 0.5000
Ni1 0.1892 0.1892 0.1892
Ni2 0.8108 0.8108 0.8108
```

---

[2]
Computed, not measured: K2ReNi at its PBEsol-relaxed geometry at the meta-GGA SCAN level of DFT.

Results
Energy relative to the lowest polymorph listed for this composition ... 233 kJ/mol of formula units
D(E_F) ... 3.4 states/eV/f.u.
SG ... No. 10
Energy of formation ... 1365 meV per atom
Crystal system ... monoclinic
Raw total energy ... -98.468 eV/cell

CIF file:
```
data_K2ReNi
_cell_length_a 2.6690
_cell_length_b 5.6190
_cell_length_c 4.9508
_cell_angle_alpha 90.00
_cell_angle_beta 94.88
_cell_angle_gamma 90.00
_symmetry_space_group_name_H-M 'P 1'
_symmetry_Int_Tables_number 1
_symmetry_space_group_name_Hall 'P 1'
loop_
_atom_site_label
_atom_site_fract_x
_atom_site_fract_y
_atom_site_fract_z
K1 0.2147 0.0000 0.2563
K2 0.7853 0.0000 0.7437
Re1 0.5000 0.5000 0.0000
Ni1 0.0000 0.5000 0.5000
```